Density functional theory data (SCAN) for a PBEsol-optimized structure of BePbOF2.

Properties
- Uncorrected energy: -19.359 eV/atom
- Formation energy (no corrections): -0.670 eV per atom

CIF file:
```
data_BePbOF2
_chemical_formula_sum 'Be1 Pb1 O1 F2'
_cell_length_a 4.5328
_cell_length_b 4.5328
_cell_length_c 4.2375
_cell_angle_alpha 90.00
_cell_angle_beta 90.00
_cell_angle_gamma 90.00
_space_group_name_H-M_alt 'P 4/m m m'
_space_group_IT_number 123
_space_group_name_Hall '-P 4 2'
loop_
_atom_site_label
_atom_site_fract_x
_atom_site_fract_y
_atom_site_fract_z
Be1 0.0000 0.0000 0.0000
Pb1 0.5000 0.5000 0.5000
O1 0.5000 0.5000 0.0000
F1 0.0000 0.5000 0.5000
```



Density functional theory data (SCAN) for a PBEsol-optimized structure of CsP2H3O6.

Properties
- Uncorrected energy: -10.725 eV/atom

CIF file:
```
data_CsP2H3O6
_chemical_formula_sum 'Cs2 P4 H6 O12'
_cell_length_a 7.4178
_cell_length_b 7.5549
_cell_length_c 7.8386
_cell_angle_alpha 88.93
_cell_angle_beta 64.51
_cell_angle_gamma 61.90
_space_group_name_H-M_alt 'P -1'
_space_group_IT_number 2
loop_
_space_group_symop_operation_xyz
'x,y,z'
'-x,-y,-z'
loop_
_atom_site_label
_atom_site_fract_x
_atom_site_fract_y
_atom_site_fract_z
Cs1 0.0449 0.2930 0.2691
P1 0.3485 0.0284 0.6356
P2 0.4504 0.5754 0.1442
H1 0.0714 0.7961 0.2679
H2 0.3777 0.2233 0.8285
H3 0.4685 0.6980 0.6794
O1 0.1346 0.2057 0.6355
O2 0.2330 0.7952 0.1990
O3 0.3385 0.8282 0.6446
O4 0.3442 0.4081 0.8766
O5 0.3804 0.4506 0.2884
O6 0.3927 0.0724 0.8031
```



Density functional theory data (SCAN) for a PBEsol-optimized structure of Zr2Al8Cu.

Properties
- Uncorrected energy: -12.984 eV/atom
- Energy of formation: -0.3833 eV per atom

CIF file:
```
data_Zr2Al8Cu
_chemical_formula_sum 'Zr2 Al8 Cu1'
_cell_length_a 4.1026
_cell_length_b 4.1026
_cell_length_c 10.8396
_cell_angle_alpha 90.00
_cell_angle_beta 90.00
_cell_angle_gamma 90.00
_space_group_name_H-M_alt 'P 4/m m m'
_space_group_IT_number 123
_space_group_name_Hall '-P 4 2'
loop_
_atom_site_label
_atom_site_fract_x
_atom_site_fract_y
_atom_site_fract_z
Zr1 0.0000 0.0000 0.1816
Al1 0.0000 0.5000 0.0000
Al2 0.0000 0.5000 0.3733
Al3 0.5000 0.5000 0.1932
Cu1 0.0000 0.0000 0.5000
```



Density functional theory data (SCAN) for a PBEsol-optimized structure of YMg2Cu2.

Properties
- Uncorrected energy: -13.840 eV/atom
- Energy of formation: -0.2021 eV per atom
- Energy above the lowest structure with this stoichiometry: 2 meV/atom

CIF file:
```
data_YMg2Cu2
_chemical_formula_sum 'Y2 Mg4 Cu4'
_cell_length_a 9.9319
_cell_length_b 3.9382
_cell_length_c 5.1559
_cell_angle_alpha 90.00
_cell_angle_beta 103.25
_cell_angle_gamma 90.00
_space_group_name_H-M_alt 'C 1 2/m 1'
_space_group_IT_number 12
loop_
_space_group_symop_operation_xyz
'x,y,z'
'-x,-y,-z'
'-x,y,-z'
'x,-y,z'
'x+1/2,y+1/2,z'
'-x+1/2,-y+1/2,-z'
'-x+1/2,y+1/2,-z'
'x+1/2,-y+1/2,z'
loop_
_atom_site_label
_atom_site_fract_x
_atom_site_fract_y
_atom_site_fract_z
Y1 0.0000 0.0000 0.0000
Mg1 0.1501 0.5000 0.5768
Cu1 0.2184 0.5000 0.1107
```



Density functional theory data (SCAN) for a PBEsol-optimized structure of UVC2.

Properties
- Uncorrected energy: -35.694 eV/atom
- Energy of formation: -0.3902 eV per atom

CIF file:
```
data_UVC2
_chemical_formula_sum 'U4 V4 C8'
_cell_length_a 5.5103
_cell_length_b 3.1415
_cell_length_c 10.6885
_cell_angle_alpha 90.00
_cell_angle_beta 90.00
_cell_angle_gamma 90.00
_space_group_name_H-M_alt 'P n m a'
_space_group_IT_number 62
loop_
_space_group_symop_operation_xyz
'x,y,z'
'-x,-y,-z'
'-x+1/2,-y,z+1/2'
'x+1/2,y,-z+1/2'
'x+1/2,-y+1/2,-z+1/2'
'-x+1/2,y+1/2,z+1/2'
'-x,y+1/2,-z'
'x,-y+1/2,z'
loop_
_atom_site_label
_atom_site_fract_x
_atom_site_fract_y
_atom_site_fract_z
U1 0.0787 0.2500 0.1411
V1 0.0781 0.7500 0.3989
C1 0.1688 0.2500 0.7540
C2 0.2348 0.2500 0.4911
```



Density functional theory data (SCAN) for a PBEsol-optimized structure of AsCl.

Properties
- Uncorrected energy: -13.726 eV/atom
- Formation energy (no corrections): 0.358 eV per atom

CIF file:
```
data_AsCl
_chemical_formula_sum 'As3 Cl3'
_cell_length_a 3.0886
_cell_length_b 3.0886
_cell_length_c 13.4407
_cell_angle_alpha 90.00
_cell_angle_beta 90.00
_cell_angle_gamma 120.00
_space_group_name_H-M_alt 'R -3 m'
_space_group_IT_number 166
_space_group_name_Hall '-R 3 2"'
loop_
_atom_site_label
_atom_site_fract_x
_atom_site_fract_y
_atom_site_fract_z
As1 0.0000 0.0000 0.0000
Cl1 0.0000 0.0000 0.5000
```



Density functional theory data (SCAN) for a PBEsol-optimized structure of Li3Mn2CrO6.

Properties
- Uncorrected energy: -10.572 eV/atom
- Formation energy (no corrections): -2.284 eV per atom

CIF file:
```
data_Li3Mn2CrO6
_chemical_formula_sum 'Li6 Mn4 Cr2 O12'
_cell_length_a 12.5469
_cell_length_b 2.8368
_cell_length_c 5.7598
_cell_angle_alpha 90.00
_cell_angle_beta 104.90
_cell_angle_gamma 90.00
_space_group_name_H-M_alt 'C 1 2/m 1'
_space_group_IT_number 12
loop_
_space_group_symop_operation_xyz
'x,y,z'
'-x,-y,-z'
'-x,y,-z'
'x,-y,z'
'x+1/2,y+1/2,z'
'-x+1/2,-y+1/2,-z'
'-x+1/2,y+1/2,-z'
'x+1/2,-y+1/2,z'
loop_
_atom_site_label
_atom_site_fract_x
_atom_site_fract_y
_atom_site_fract_z
Li1 0.0000 0.0000 0.0000
Li2 0.1673 0.5000 0.3379
Mn1 0.1700 0.5000 0.8437
Cr1 0.0000 0.0000 0.5000
O1 0.0072 0.5000 0.7407
O2 0.1634 0.0000 0.6041
O3 0.1699 0.0000 0.0745
```



Density functional theory data (SCAN) for a PBEsol-optimized structure of Al2Cd3Ge3O12.

Properties
- Uncorrected energy: -14.034 eV/atom
- Formation energy (no corrections): -2.094 eV per atom

CIF file:
```
data_Al2Cd3Ge3O12
_chemical_formula_sum 'Al16 Cd24 Ge24 O96'
_cell_length_a 12.1023
_cell_length_b 12.1023
_cell_length_c 12.1023
_cell_angle_alpha 90.00
_cell_angle_beta 90.00
_cell_angle_gamma 90.00
_space_group_name_H-M_alt 'I a -3 d'
_space_group_IT_number 230
_space_group_name_Hall '-I 4bd 2c 3'
loop_
_atom_site_label
_atom_site_fract_x
_atom_site_fract_y
_atom_site_fract_z
Al1 0.0000 0.0000 0.0000
Cd1 0.0000 0.2500 0.1250
Ge1 0.0000 0.2500 0.3750
O1 0.0320 0.0475 0.6477
```



Density functional theory data (SCAN) for a PBEsol-optimized structure of OF2.

Properties
- Uncorrected energy: -4.384 eV/atom
- Formation energy (no corrections): 0.053 eV per atom

CIF file:
```
data_OF2
_chemical_formula_sum 'O4 F8'
_cell_length_a 9.6002
_cell_length_b 3.1172
_cell_length_c 5.7116
_cell_angle_alpha 90.00
_cell_angle_beta 90.00
_cell_angle_gamma 90.00
_space_group_name_H-M_alt 'P n m a'
_space_group_IT_number 62
loop_
_space_group_symop_operation_xyz
'x,y,z'
'-x,-y,-z'
'-x+1/2,-y,z+1/2'
'x+1/2,y,-z+1/2'
'x+1/2,-y+1/2,-z+1/2'
'-x+1/2,y+1/2,z+1/2'
'-x,y+1/2,-z'
'x,-y+1/2,z'
loop_
_atom_site_label
_atom_site_fract_x
_atom_site_fract_y
_atom_site_fract_z
O1 0.1149 0.2500 0.0941
F1 0.0444 0.2500 0.3121
F2 0.2423 0.7500 0.6550
```



Density functional theory data (SCAN) for a PBEsol-optimized structure of Zn2WI.

Properties
- Uncorrected energy: -31.856 eV/atom
- Formation energy (no corrections): 1.509 eV per atom

CIF file:
```
data_Zn2WI
_chemical_formula_sum 'Zn8 W4 I4'
_cell_length_a 6.6362
_cell_length_b 6.6362
_cell_length_c 6.6362
_cell_angle_alpha 90.00
_cell_angle_beta 90.00
_cell_angle_gamma 90.00
_space_group_name_H-M_alt 'F m -3 m'
_space_group_IT_number 225
_space_group_name_Hall '-F 4 2 3'
loop_
_atom_site_label
_atom_site_fract_x
_atom_site_fract_y
_atom_site_fract_z
Zn1 0.2500 0.2500 0.2500
W1 0.0000 0.0000 0.0000
I1 0.0000 0.0000 0.5000
```



Density functional theory data (SCAN) for a PBEsol-optimized structure of Sr3Pb2.

Properties
- Uncorrected energy: -44.294 eV/atom
- Energy of formation: -0.6160 eV per atom

CIF file:
```
data_Sr3Pb2
_chemical_formula_sum 'Sr3 Pb2'
_cell_length_a 5.6872
_cell_length_b 5.6872
_cell_length_c 6.9370
_cell_angle_alpha 90.00
_cell_angle_beta 90.00
_cell_angle_gamma 120.00
_space_group_name_H-M_alt 'P -3 m 1'
_space_group_IT_number 164
_space_group_name_Hall '-P 3 2"'
loop_
_atom_site_label
_atom_site_fract_x
_atom_site_fract_y
_atom_site_fract_z
Sr1 0.0000 0.0000 0.0000
Sr2 0.3333 0.6667 0.3209
Pb1 0.3333 0.6667 0.8130
```



Density functional theory data (SCAN) for a PBEsol-optimized structure of LaAlCd2.

Properties
- Uncorrected energy: -27.900 eV/atom
- Energy of formation: 0.0211 eV per atom

CIF file:
```
data_LaAlCd2
_chemical_formula_sum 'La3 Al3 Cd6'
_cell_length_a 3.1526
_cell_length_b 3.1526
_cell_length_c 31.4516
_cell_angle_alpha 90.00
_cell_angle_beta 90.00
_cell_angle_gamma 120.00
_space_group_name_H-M_alt 'R -3 m'
_space_group_IT_number 166
_space_group_name_Hall '-R 3 2"'
loop_
_atom_site_label
_atom_site_fract_x
_atom_site_fract_y
_atom_site_fract_z
La1 0.0000 0.0000 0.0000
Al1 0.0000 0.0000 0.5000
Cd1 0.0000 0.0000 0.2411
```